Computed, not measured: CaOs2Se after structural relaxation at the PBE level of DFT.

```
data_CaOs2Se
_space_group_name_H-M_alt 'A m m 2'
_space_group_IT_number 38
_space_group_name_Hall 'A 2 -2'
_cell_length_a 3.5989
_cell_length_b 2.8858
_cell_length_c 14.6828
_cell_angle_alpha 90.00
_cell_angle_beta 90.00
_cell_angle_gamma 90.00
loop_
_atom_site_label
_atom_site_type_symbol
_atom_site_fract_x
_atom_site_fract_y
_atom_site_fract_z
_atom_site_occupancy
Ca1 Ca 0.0000 0.0000 0.0000 1
Os1 Os 0.0000 0.0000 0.2264 1
Os2 Os 0.5000 0.0000 0.6501 1
Se1 Se 0.5000 0.0000 0.3664 1
```

Values from the calculation:
Uncorrected energy: -27.52 eV/f.u.
ΔE_f (raw): 0.11 eV/atom
Magnetization: 0.00 μB per formula unit

***

Computed, not measured: Rb3Li2PuCl8 after structural relaxation at the PBE level of DFT.

```
data_Rb3Li2PuCl8
_space_group_name_H-M_alt 'P -3 m 1'
_space_group_IT_number 164
_space_group_name_Hall '-P 3 2"'
_cell_length_a 7.4240
_cell_length_b 7.4240
_cell_length_c 9.5008
_cell_angle_alpha 90.00
_cell_angle_beta 90.00
_cell_angle_gamma 120.00
loop_
_atom_site_label
_atom_site_type_symbol
_atom_site_fract_x
_atom_site_fract_y
_atom_site_fract_z
_atom_site_occupancy
Rb1 Rb 0.0000 0.0000 0.0000 1
Rb2 Rb 0.3333 0.6667 0.6444 1
Li1 Li 0.3333 0.6667 0.1995 1
Pu1 Pu 0.0000 0.0000 0.5000 1
Cl1 Cl 0.1682 0.3363 0.3293 1
Cl2 Cl 0.3333 0.6667 0.9666 1
```

Values from the calculation:
Uncorrected energy: -61.94 eV/f.u.
ΔE_f (raw): -1.86 eV/atom
Magnetization: 5.00 μB per formula unit

***

Computed, not measured: Li2TmCu6 after structural relaxation at the PBE level of DFT.

```
data_Li2TmCu6
_space_group_name_H-M_alt 'C 1 2/m 1'
_space_group_IT_number 12
_space_group_name_Hall '-C 2y'
_cell_length_a 12.9572
_cell_length_b 7.2955
_cell_length_c 2.8611
_cell_angle_alpha 90.00
_cell_angle_beta 102.58
_cell_angle_gamma 90.00
loop_
_atom_site_label
_atom_site_type_symbol
_atom_site_fract_x
_atom_site_fract_y
_atom_site_fract_z
_atom_site_occupancy
Li1 Li 0.1472 0.0000 0.1454 1
Tm1 Tm 0.0000 0.5000 0.0000 1
Cu1 Cu 0.0000 0.1664 0.5000 1
Cu2 Cu 0.1773 0.3220 0.6761 1
```

Values from the calculation:
ΔH_f (0 K): 0.0011 eV per atom
Uncorrected energy: -32.87 eV/f.u.
Magnetization: 0.00 μB per formula unit

***

- What is the magnetization in the first record?
  0.00 μB per formula unit

***

- Among the records above, which one has the highest uncorrected energy?
  CaOs2Se

***

- What is the magnetization in the third record?
  0.00 μB per formula unit